Compound: La3NdEr3
Source: the Alexandria database
Functional: PBE
Structure: optimized geometry

Geometry as POSCAR:
```
La3NdEr3
1.0
-4.307 -1.885 3.447
2.004 -9.219 -2.536
4.429 4.013 7.728
La Nd Er
6 2 6
direct
0.750 0.624 0.527
0.750 0.473 0.097
0.750 0.903 0.376
0.250 0.376 0.473
0.250 0.527 0.903
0.250 0.097 0.624
0.250 0.667 0.333
0.750 0.333 0.667
0.250 0.816 0.771
0.250 0.229 0.046
0.250 0.954 0.184
0.750 0.184 0.229
0.750 0.771 0.954
0.750 0.046 0.816
```

Output
The distance to the lowest polymorph of the same formula comes out at 0 meV/atom. Its formation energy is 37 meV/atom. The calculation puts the volume at 34.418 Å³ per atom.